The following is a PBE with a Hubbard U calculation of a relaxed Mn2CuGeO6 crystal, from Alexandria.

The space group is P1 (No. 1) and the conventional cell measures 4.9954, 5.0793 and 5.4128 Å, with angles of 64.35, 89.17 and 61.48 degrees. The distinct sites, in fractional coordinates, are Mn at (0.0000, 0.0000, 0.0000), Mn at (0.4760, 0.0416, 0.4563), Cu at (0.2731, 0.4564, 0.8515), Ge at (0.7874, 0.4188, 0.3964), O at (0.0748, 0.2411, 0.1918), O at (0.1844, 0.2262, 0.6678), O at (0.4250, 0.4949, 0.1952), O at (0.5661, 0.5707, 0.6549), O at (0.7110, 0.8622, 0.2165) and O at (0.8402, 0.9755, 0.6550).

As for the crystal system: triclinic. As for the total energy: -66.6 eV/cell.